# 1
First-principles (GGA-PBEsol) data for crystalline KLiCr at its relaxed geometry, as listed in Alexandria via LeMat-Bulk.

```
KLiCr
1.0
-1.840 1.840 6.527
1.840 -1.840 6.527
1.840 1.840 -6.527
K Li Cr
1 1 1
Direct
0.000 0.000 0.000
0.286 0.286 0.000
0.701 0.701 0.000
```

## Properties
**DOS(E_F)**: 0.57 states/eV per atom
**Energy relative to the elements**: 0.895 eV/atom


# 2
First-principles (GGA-PBEsol) data for crystalline KLi2Cr at its relaxed geometry, as listed in Alexandria via LeMat-Bulk.

```
KLi2Cr
1.0
0.000 3.827 3.827
3.827 0.000 3.827
3.827 3.827 0.000
K Li Cr
1 2 1
Direct
0.000 0.000 0.000
0.500 0.500 0.500
0.750 0.750 0.750
0.250 0.250 0.250
```

## Properties
**DOS(E_F)**: 0.49 states/eV per atom
**Energy relative to the elements**: 0.780 eV/atom


# 3
First-principles (GGA-PBEsol) data for crystalline KLiCr2O at its relaxed geometry, as listed in Alexandria via LeMat-Bulk.

```
KLiCr2O
1.0
3.982 0.000 0.000
0.000 3.982 0.000
0.000 0.000 5.320
K Li Cr O
1 1 2 1
Direct
0.000 0.000 0.000
0.500 0.500 0.000
0.000 0.500 0.500
0.500 0.000 0.500
0.000 0.000 0.500
```

## Properties
**DOS(E_F)**: 0.58 states/eV per atom
**E_form (uncorrected)**: 79 meV/atom


# 4
First-principles (GGA-PBEsol) data for crystalline K8Li9Cr4O16 at its relaxed geometry, as listed in Alexandria via LeMat-Bulk.

```
K8Li9Cr4O16
1.0
5.447 0.000 0.000
0.158 9.016 0.000
1.529 0.288 10.118
K Li Cr O
8 9 4 16
Direct
0.000 0.000 0.000
0.003 0.786 0.483
0.347 0.207 0.785
0.359 0.980 0.275
0.493 0.497 0.516
0.559 0.764 0.003
0.807 0.238 0.267
0.852 0.499 0.776
0.087 0.476 0.346
0.092 0.754 0.825
0.251 0.522 0.943
0.275 0.243 0.447
0.393 0.010 0.567
0.521 0.508 0.199
0.589 0.728 0.334
0.768 0.267 0.951
0.965 0.982 0.707
0.006 0.692 0.184
0.342 0.287 0.090
0.502 0.779 0.691
0.859 0.216 0.584
0.011 0.384 0.525
0.061 0.700 0.006
0.076 0.074 0.519
0.077 0.303 0.009
0.280 0.661 0.268
0.284 0.925 0.752
0.311 0.313 0.266
0.361 0.608 0.760
0.503 0.806 0.516
0.521 0.126 0.050
0.533 0.436 0.014
0.569 0.201 0.527
0.797 0.792 0.746
0.800 0.556 0.286
0.831 0.860 0.225
0.845 0.191 0.759
```

## Properties
**DOS(E_F)**: 0.19 states/eV per atom
**E_form (uncorrected)**: -1763 meV/atom


# 5
First-principles (GGA-PBEsol) data for crystalline KLiCr2S at its relaxed geometry, as listed in Alexandria via LeMat-Bulk.

```
KLiCr2S
1.0
5.304 0.000 0.000
0.000 5.304 0.000
0.000 0.000 4.915
K Li Cr S
1 1 2 1
Direct
0.000 0.000 0.000
0.000 0.000 0.500
0.000 0.500 0.000
0.500 0.000 0.000
0.500 0.500 0.500
```

## Properties
**DOS(E_F)**: 0.49 states/eV per atom
**E_form (uncorrected)**: 1912 meV/atom


# 6
First-principles (GGA-PBEsol) data for crystalline KMg2CrNi at its relaxed geometry, as listed in Alexandria via LeMat-Bulk.

```
KMg2CrNi
1.0
4.970 0.000 0.000
0.000 4.970 0.000
0.000 0.000 4.712
K Mg Cr Ni
1 2 1 1
Direct
0.000 0.000 0.000
0.000 0.500 0.500
0.500 0.000 0.500
0.500 0.500 0.000
0.500 0.500 0.500
```

## Properties
**DOS(E_F)**: 0.93 states/eV per atom
**Energy relative to the elements**: 0.497 eV/atom


# 7
First-principles (GGA-PBEsol) data for crystalline KMg30CrO32 at its relaxed geometry, as listed in Alexandria via LeMat-Bulk.

```
KMg30CrO32
1.0
8.499 0.000 0.000
0.000 8.499 0.000
0.000 0.000 8.501
K Mg Cr O
1 30 1 32
Direct
0.000 0.000 0.000
0.000 0.000 0.500
0.000 0.250 0.252
0.000 0.250 0.748
0.000 0.500 0.000
0.000 0.500 0.500
0.000 0.750 0.252
0.000 0.750 0.748
0.248 0.500 0.251
0.248 0.500 0.749
0.249 0.249 0.000
0.249 0.249 0.500
0.249 0.751 0.000
0.249 0.751 0.500
0.250 0.000 0.252
0.250 0.000 0.748
0.500 0.000 0.000
0.500 0.000 0.500
0.500 0.248 0.251
0.500 0.248 0.749
0.500 0.500 0.500
0.500 0.752 0.251
0.500 0.752 0.749
0.750 0.000 0.252
0.750 0.000 0.748
0.751 0.249 0.000
0.751 0.249 0.500
0.751 0.751 0.000
0.751 0.751 0.500
0.752 0.500 0.251
0.752 0.500 0.749
0.500 0.500 0.000
0.000 0.000 0.273
0.000 0.000 0.727
0.000 0.255 0.500
0.000 0.274 0.000
0.000 0.500 0.253
0.000 0.500 0.747
0.000 0.726 0.000
0.000 0.745 0.500
0.251 0.251 0.249
0.251 0.251 0.751
0.251 0.749 0.249
0.251 0.749 0.751
0.254 0.500 0.500
0.255 0.000 0.500
0.263 0.500 0.000
0.274 0.000 0.000
0.500 0.000 0.253
0.500 0.000 0.747
0.500 0.254 0.500
0.500 0.263 0.000
0.500 0.500 0.241
0.500 0.500 0.759
0.500 0.737 0.000
0.500 0.746 0.500
0.726 0.000 0.000
0.737 0.500 0.000
0.745 0.000 0.500
0.746 0.500 0.500
0.749 0.251 0.249
0.749 0.251 0.751
0.749 0.749 0.249
0.749 0.749 0.751
```

## Properties
**DOS(E_F)**: 0.00 states/eV per atom
**E_form (uncorrected)**: -2638 meV/atom


# 8
First-principles (GGA-PBEsol) data for crystalline K2MnCr at its relaxed geometry, as listed in Alexandria via LeMat-Bulk.

```
K2MnCr
1.0
3.374 0.000 0.000
0.000 3.374 0.000
0.000 0.000 10.275
K Mn Cr
2 1 1
Direct
0.000 0.000 0.000
0.500 0.500 0.401
0.000 0.000 0.675
0.500 0.500 0.725
```

## Properties
**DOS(E_F)**: 0.56 states/eV per atom
**Energy relative to the elements**: 0.815 eV/atom


# 9
First-principles (GGA-PBEsol) data for crystalline KMnCr4 at its relaxed geometry, as listed in Alexandria via LeMat-Bulk.

```
KMnCr4
1.0
0.000 3.481 3.481
3.481 0.000 3.481
3.481 3.481 0.000
K Mn Cr
1 1 4
Direct
0.000 0.000 0.000
0.750 0.750 0.750
0.374 0.374 0.374
0.374 0.374 0.877
0.374 0.877 0.374
0.877 0.374 0.374
```

## Properties
**DOS(E_F)**: 1.14 states/eV per atom
**Energy relative to the elements**: 1.277 eV/atom


# 10
First-principles (GGA-PBEsol) data for crystalline KMn2Cr at its relaxed geometry, as listed in Alexandria via LeMat-Bulk.

```
KMn2Cr
1.0
0.000 3.343 3.343
3.343 0.000 3.343
3.343 3.343 0.000
K Mn Cr
1 2 1
Direct
0.000 0.000 0.000
0.250 0.250 0.250
0.750 0.750 0.750
0.500 0.500 0.500
```

## Properties
**DOS(E_F)**: 0.67 states/eV per atom
**Energy relative to the elements**: 1.367 eV/atom


# 11
First-principles (GGA-PBEsol) data for crystalline K2MnCr at its relaxed geometry, as listed in Alexandria via LeMat-Bulk.

```
K2MnCr
1.0
-1.738 3.096 5.876
1.738 -3.096 5.876
1.738 3.096 -5.876
K Mn Cr
2 1 1
Direct
0.000 0.000 0.000
0.700 0.200 0.500
0.282 0.782 0.500
0.409 0.409 0.000
```

## Properties
**DOS(E_F)**: 0.63 states/eV per atom
**Energy relative to the elements**: 1.040 eV/atom


# 12
First-principles (GGA-PBEsol) data for crystalline K3MnCrO8 at its relaxed geometry, as listed in Alexandria via LeMat-Bulk.

```
K3MnCrO8
1.0
2.875 1.660 7.032
-2.875 1.660 7.032
0.000 -3.319 7.032
K Mn Cr O
3 1 1 8
Direct
0.000 0.000 0.000
0.193 0.193 0.193
0.787 0.787 0.787
0.586 0.586 0.586
0.401 0.401 0.401
0.256 0.713 0.713
0.273 0.273 0.740
0.273 0.740 0.273
0.323 0.323 0.323
0.662 0.662 0.662
0.713 0.256 0.713
0.713 0.713 0.256
0.740 0.273 0.273
```

## Properties
**E_form (uncorrected)**: -1766 meV/atom


no.,calculated density (g/cm³)
1,1.84
2,1.56
3,3.27
4,2.80
5,2.19
6,2.83
7,3.60
8,2.63
9,5.95
10,4.47
11,2.43
12,2.91